DFT (PBE) results for an optimized crystal structure of Ba2TaRu.

Structure (POSCAR):
```
Ba2TaRu
1.0
-0.549 1.724 -2.805
-2.889 -1.617 -0.429
-4.696 7.006 5.225
Ru Ba Ta
1 2 1
direct
0.500 0.500 0.250
0.000 0.000 0.464
0.000 0.000 0.036
0.500 0.500 0.750
```

Energy above the lowest structure with this stoichiometry = 3.924 eV/f.u.
Space group = P4/mmm, No. 123
Crystal system = tetragonal
Volume = 111 Å³/cell
Calculated density = 8.36 g/cm³
DFT formation energy = 1.243 eV per atom
Uncorrected energy = -0.1838 hartree per atom


DFT (PBE) results for an optimized crystal structure of NaNi2Ag2.

Structure (POSCAR):
```
NaNi2Ag2
1.0
4.222 0.000 0.000
0.000 4.222 0.000
2.111 2.111 5.173
Na Ni Ag
1 2 2
direct
0.000 0.000 0.000
0.606 0.606 0.787
0.394 0.394 0.213
0.750 0.250 0.500
0.250 0.750 0.500
```

Energy above the lowest structure with this stoichiometry = 0.953 eV/f.u.
Space group = I4/mmm, No. 139
Crystal system = tetragonal
Volume = 92 Å³/cell
Calculated density = 6.41 g/cm³
DFT formation energy = 0.430 eV per atom
Uncorrected energy = -0.1208 hartree per atom


DFT (PBE) results for an optimized crystal structure of Tb3PmTm.

Structure (POSCAR):
```
Tb3PmTm
1.0
5.680 0.000 0.000
0.000 6.269 -0.573
0.000 -2.321 9.333
Pm Tb Tm
2 6 2
direct
0.250 0.267 0.200
0.750 0.733 0.800
0.250 0.665 0.001
0.250 0.464 0.598
0.750 0.934 0.203
0.750 0.536 0.402
0.250 0.066 0.797
0.750 0.335 0.999
0.250 0.868 0.402
0.750 0.132 0.598
```

Energy above the lowest structure with this stoichiometry = 0.000 eV/f.u.
Space group = P2_1/m, No. 11
Crystal system = monoclinic
Volume = 325 Å³/cell
Calculated density = 8.09 g/cm³
DFT formation energy = 0.016 eV per atom
Uncorrected energy = -0.1693 hartree per atom


DFT (PBE) results for an optimized crystal structure of TbDy3Er4S8.

Structure (POSCAR):
```
TbDy3Er4S8
1.0
7.772 0.000 0.000
0.000 7.781 0.002
-3.886 -3.881 5.498
Tb S Dy Er
1 8 3 4
direct
0.000 0.500 0.000
0.252 0.755 0.504
0.748 0.245 0.997
0.751 0.755 0.003
0.249 0.246 0.497
0.748 0.245 0.496
0.751 0.754 0.503
0.252 0.755 0.003
0.249 0.245 0.997
0.000 0.500 0.500
0.500 0.500 0.000
0.500 0.500 0.500
0.500 0.000 0.000
0.000 0.000 0.000
0.000 0.000 0.500
0.500 0.000 0.500
```

ΔE_f (raw) = -1.972 eV/atom
Space group = R-3m, No. 166
Crystal system = trigonal
Volume = 333 Å³/cell
Calculated density = 7.85 g/cm³
Uncorrected energy = -0.2326 hartree per atom


DFT (PBE) results for an optimized crystal structure of Dy4Ho4Cd.

Structure (POSCAR):
```
Dy4Ho4Cd
1.0
4.939 0.000 0.000
2.470 7.396 0.000
2.470 0.000 7.396
Ho Cd Dy
4 1 4
direct
0.664 0.671 0.000
0.664 0.000 0.671
0.336 0.000 0.329
0.336 0.329 0.000
0.000 0.000 0.000
0.667 0.333 0.333
0.000 0.667 0.333
0.000 0.333 0.667
0.333 0.667 0.667
```

Space group = I4/mmm, No. 139
Crystal system = tetragonal
Volume = 270 Å³/cell
Calculated density = 8.74 g/cm³
DFT formation energy = -0.012 eV per atom
Uncorrected energy = -0.1541 hartree per atom


DFT (PBE) results for an optimized crystal structure of AcSmGa2Ge2.

Structure (POSCAR):
```
AcSmGa2Ge2
1.0
-2.428 -0.115 -3.498
1.719 -3.590 1.519
-7.463 -1.362 5.225
Sm Ac Ga Ge
1 1 2 2
direct
0.000 0.000 0.500
0.000 0.000 0.000
0.333 0.667 0.774
0.667 0.333 0.226
0.667 0.333 0.698
0.333 0.667 0.302
```

Space group = P-3m1, No. 164
Crystal system = trigonal
Volume = 145 Å³/cell
Calculated density = 7.59 g/cm³
DFT formation energy = -0.684 eV per atom
Uncorrected energy = -0.1728 hartree per atom


DFT (PBE) results for an optimized crystal structure of MnTc2Ni.

Structure (POSCAR):
```
MnTc2Ni
1.0
-8.613 -0.724 0.637
-8.153 -2.773 -0.974
-7.934 -3.074 1.646
Tc Mn Ni
2 1 1
direct
0.246 0.246 0.246
0.003 0.003 0.003
0.498 0.498 0.498
0.753 0.753 0.753
```

Energy above the lowest structure with this stoichiometry = 0.646 eV/f.u.
Space group = R3m, No. 160
Crystal system = trigonal
Volume = 52 Å³/cell
Calculated density = 9.94 g/cm³
DFT formation energy = 0.155 eV per atom
Uncorrected energy = -0.3221 hartree per atom


DFT (PBE) results for an optimized crystal structure of Nb2TcAgGe.

Structure (POSCAR):
```
Nb2TcAgGe
1.0
4.836 0.000 0.000
0.000 4.718 0.000
0.000 0.000 4.836
Nb Ag Ge Tc
2 1 1 1
direct
0.500 0.000 0.000
0.000 0.000 0.500
0.500 0.500 0.500
0.000 0.500 0.000
0.000 0.000 0.000
```

Space group = P4/mmm, No. 123
Crystal system = tetragonal
Volume = 110 Å³/cell
Calculated density = 6.99 g/cm³
DFT formation energy = 0.908 eV per atom
Uncorrected energy = -0.2457 hartree per atom


DFT (PBE) results for an optimized crystal structure of K2MnIr.

Structure (POSCAR):
```
K2MnIr
1.0
11.783 -0.037 -0.022
11.422 2.893 -0.022
11.422 1.406 2.529
Mn K Ir
1 2 1
direct
0.250 0.250 0.250
0.007 0.007 0.007
0.493 0.493 0.493
0.750 0.750 0.750
```

Energy above the lowest structure with this stoichiometry = 2.501 eV/f.u.
Space group = R-3m, No. 166
Crystal system = trigonal
Volume = 88 Å³/cell
Calculated density = 6.14 g/cm³
DFT formation energy = 1.059 eV per atom
Uncorrected energy = -0.1469 hartree per atom


DFT (PBE) results for an optimized crystal structure of KScBeSe3.

Structure (POSCAR):
```
KScBeSe3
1.0
-2.527 -2.229 1.874
6.855 -4.612 3.757
-2.456 7.301 5.371
Se K Sc Be
6 2 2 2
direct
0.250 0.815 0.465
0.750 0.469 0.164
0.250 0.531 0.836
0.750 0.185 0.535
0.250 0.119 0.850
0.750 0.881 0.150
0.750 0.793 0.765
0.250 0.207 0.235
0.250 0.667 0.140
0.750 0.333 0.860
0.750 0.920 0.397
0.250 0.080 0.603
```

ΔE_f (raw) = -1.341 eV/atom
Space group = P2_1/m, No. 11
Crystal system = monoclinic
Volume = 307 Å³/cell
Calculated density = 3.57 g/cm³
Uncorrected energy = -0.1816 hartree per atom


DFT (PBE) results for an optimized crystal structure of InNiS3.

Structure (POSCAR):
```
InNiS3
1.0
4.498 0.000 0.000
0.000 4.498 0.000
0.000 0.000 4.498
S Ni In
3 1 1
direct
0.000 0.000 0.500
0.500 0.000 0.000
0.000 0.500 0.000
0.000 0.000 0.000
0.500 0.500 0.500
```

ΔE_f (raw) = 0.176 eV/atom
Energy above the lowest structure with this stoichiometry = 0.000 eV/f.u.
Space group = Pm-3m, No. 221
Crystal system = cubic
Volume = 91 Å³/cell
Calculated density = 4.92 g/cm³
Uncorrected energy = -0.1472 hartree per atom


DFT (PBE) results for an optimized crystal structure of Pm2InPd4.

Structure (POSCAR):
```
Pm2InPd4
1.0
4.949 0.000 0.000
0.000 4.949 0.000
-2.475 -2.475 7.266
Pm In Pd
2 1 4
direct
0.368 0.368 0.735
0.632 0.632 0.265
0.000 0.000 0.000
0.817 0.817 0.635
0.500 0.000 0.000
0.000 0.500 0.000
0.183 0.183 0.365
```

Space group = I4/mmm, No. 139
Crystal system = tetragonal
Volume = 178 Å³/cell
Calculated density = 7.75 g/cm³
DFT formation energy = -0.220 eV per atom
Uncorrected energy = -0.1814 hartree per atom


Question: Which of these has the highest uncorrected energy?
Answer: NaNi2Ag2